a | DFT (PBE) results for an optimized crystal structure of NbPtSe2.

abc: 7.0264 7.0264 7.0264
angles: 131.00 131.00 71.82
Atoms (fractional coordinates):
1 Nb 0.0000 0.0000 0.0000
2 Nb 0.7500 0.2500 0.5000
3 Pt 0.2500 0.7500 0.5000
4 Pt 0.5000 0.5000 0.0000
5 Se 0.1273 0.6250 0.0023
6 Se 0.3750 0.3773 0.5023
7 Se 0.6227 0.1250 0.9977
8 Se 0.8750 0.8727 0.4977

Summary:
total moment = 0.215 μB/atom

---

b | DFT (PBE) results for an optimized crystal structure of NbPtSe2.

abc: 8.5403 8.5403 8.5403
angles: 22.47 22.47 22.47
Atoms (fractional coordinates):
1 Nb 0.0000 0.0000 0.0000
2 Pt 0.5000 0.5000 0.5000
3 Se 0.4035 0.4035 0.4035
4 Se 0.5965 0.5965 0.5965

Summary:
total moment = 0.000 μB/atom

---

c | DFT (PBE) results for an optimized crystal structure of NbPtSe2.

abc: 4.6175 4.6175 4.6175
angles: 60.00 60.00 60.00
Atoms (fractional coordinates):
1 Nb 0.0000 0.0000 0.0000
2 Pt 0.5000 0.5000 0.5000
3 Se 0.2500 0.2500 0.2500
4 Se 0.7500 0.7500 0.7500

Summary:
total moment = 0.000 μB/atom

---

Of them, the most stable is b and the least stable is c.

---

a | DFT (PBE) results for an optimized crystal structure of NbSiPt3.

abc: 4.8819 4.8819 4.8819
angles: 90.00 90.00 90.00
Atoms (fractional coordinates):
1 Nb 0.0000 0.0000 0.0000
2 Si 0.5000 0.5000 0.5000
3 Pt 0.0000 0.0000 0.5000
4 Pt 0.0000 0.5000 0.0000
5 Pt 0.5000 0.0000 0.0000

Summary:
total moment = 0.000 μB/atom

---

b | DFT (PBE) results for an optimized crystal structure of NbSiPt3.

abc: 4.5136 4.5136 4.5136
angles: 90.00 90.00 90.00
Atoms (fractional coordinates):
1 Nb 0.0000 0.0000 0.0000
2 Si 0.5000 0.5000 0.5000
3 Pt 0.0000 0.5000 0.5000
4 Pt 0.5000 0.0000 0.5000
5 Pt 0.5000 0.5000 0.0000

Summary:
total moment = 0.446 μB/atom

---

Of them, the most stable is b and the least stable is a.

---

a | DFT (PBE) results for an optimized crystal structure of NbSn3Pt.

abc: 5.1906 5.1906 5.1906
angles: 90.00 90.00 90.00
Atoms (fractional coordinates):
1 Nb 0.0000 0.0000 0.0000
2 Sn 0.0000 0.5000 0.5000
3 Sn 0.5000 0.0000 0.5000
4 Sn 0.5000 0.5000 0.0000
5 Pt 0.5000 0.5000 0.5000

Summary:
total moment = 0.643 μB/atom

---

b | DFT (PBE) results for an optimized crystal structure of NbSn3Pt.

abc: 5.3038 5.3038 5.3038
angles: 90.00 90.00 90.00
Atoms (fractional coordinates):
1 Nb 0.0000 0.0000 0.0000
2 Sn 0.0000 0.0000 0.5000
3 Sn 0.0000 0.5000 0.0000
4 Sn 0.5000 0.0000 0.0000
5 Pt 0.5000 0.5000 0.5000

Summary:
total moment = 0.192 μB/atom

---

Of them, the most stable is a and the least stable is b.

---

a | DFT (PBE) results for an optimized crystal structure of NbSn2Pt.

abc: 10.0927 10.0927 10.0927
angles: 18.05 18.05 18.05
Atoms (fractional coordinates):
1 Nb 0.0000 0.0000 0.0000
2 Sn 0.0954 0.0954 0.0954
3 Sn 0.9046 0.9046 0.9046
4 Pt 0.5000 0.5000 0.5000

Summary:
total moment = 0.000 μB/atom

---

b | DFT (PBE) results for an optimized crystal structure of NbSn2Pt.

abc: 4.7844 4.7844 4.7844
angles: 60.00 60.00 60.00
Atoms (fractional coordinates):
1 Nb 0.0000 0.0000 0.0000
2 Sn 0.2500 0.2500 0.2500
3 Sn 0.7500 0.7500 0.7500
4 Pt 0.5000 0.5000 0.5000

Summary:
total moment = 0.000 μB/atom

---

c | DFT (PBE) results for an optimized crystal structure of NbSn2Pt.

abc: 4.6071 4.6071 3.6159
angles: 90.00 90.00 90.00
Atoms (fractional coordinates):
1 Nb 0.0000 0.0000 0.0000
2 Sn 0.0000 0.5000 0.5000
3 Sn 0.5000 0.0000 0.5000
4 Pt 0.5000 0.5000 0.0000

Summary:
total moment = 0.000 μB/atom

---

d | DFT (PBE) results for an optimized crystal structure of NbSn2Pt.

abc: 6.1222 6.1222 6.1222
angles: 104.32 104.32 120.35
Atoms (fractional coordinates):
1 Nb 0.0000 0.0000 0.0000
2 Nb 0.7500 0.2500 0.5000
3 Sn 0.1513 0.6250 0.0263
4 Sn 0.3750 0.4013 0.5263
5 Sn 0.5987 0.1250 0.9737
6 Sn 0.8750 0.8487 0.4737
7 Pt 0.2500 0.7500 0.5000
8 Pt 0.5000 0.5000 0.0000

Summary:
total moment = 0.000 μB/atom

---

Of them, the most stable is c and the least stable is a.

---

a | DFT (PBE) results for an optimized crystal structure of SrNbPt3.

abc: 4.9793 4.9793 4.9793
angles: 90.00 90.00 90.00
Atoms (fractional coordinates):
1 Sr 0.0000 0.0000 0.0000
2 Nb 0.5000 0.5000 0.5000
3 Pt 0.0000 0.5000 0.5000
4 Pt 0.5000 0.0000 0.5000
5 Pt 0.5000 0.5000 0.0000

Summary:
total moment = 0.000 μB/atom

---

b | DFT (PBE) results for an optimized crystal structure of SrNbPt3.

abc: 5.0348 5.0348 5.0348
angles: 90.00 90.00 90.00
Atoms (fractional coordinates):
1 Sr 0.0000 0.0000 0.0000
2 Nb 0.5000 0.5000 0.5000
3 Pt 0.0000 0.0000 0.5000
4 Pt 0.0000 0.5000 0.0000
5 Pt 0.5000 0.0000 0.0000

Summary:
total moment = 0.000 μB/atom

---

Of them, the most stable is a and the least stable is b.

---

a | DFT (PBE) results for an optimized crystal structure of SrNb2Pt.

abc: 4.7784 4.7784 4.7784
angles: 60.00 60.00 60.00
Atoms (fractional coordinates):
1 Sr 0.0000 0.0000 0.0000
2 Nb 0.2500 0.2500 0.2500
3 Nb 0.7500 0.7500 0.7500
4 Pt 0.5000 0.5000 0.5000

Summary:
total moment = 0.000 μB/atom

---

b | DFT (PBE) results for an optimized crystal structure of SrNb2Pt.

abc: 10.8788 10.8788 10.8788
angles: 156.85 156.85 32.96
Atoms (fractional coordinates):
1 Sr 0.0000 0.0000 0.0000
2 Sr 0.7500 0.2500 0.5000
3 Nb 0.2560 0.6250 0.1310
4 Nb 0.3750 0.5060 0.6310
5 Nb 0.4940 0.1250 0.8690
6 Nb 0.8750 0.7440 0.3690
7 Pt 0.2500 0.7500 0.5000
8 Pt 0.5000 0.5000 0.0000

Summary:
total moment = 0.000 μB/atom

---

Of them, the most stable is a and the least stable is b.